[1]
VASP calculation (GGA-PBE) on a relaxed LiY3Ir8 crystal.

Symmetry: R3m, No. 160

Geometry as POSCAR:
```
LiY3Ir8
1.0
2.662 1.537 8.699
-2.662 1.537 8.699
0.000 -3.074 8.699
Li Y Ir
1 3 8
direct
0.000 0.000 0.000
0.122 0.122 0.122
0.504 0.504 0.504
0.633 0.633 0.633
0.066 0.066 0.567
0.066 0.565 0.565
0.066 0.567 0.066
0.316 0.316 0.316
0.565 0.066 0.565
0.565 0.565 0.066
0.567 0.066 0.066
0.816 0.816 0.816
```



[2]
VASP calculation (GGA-PBE) on a relaxed Li2Y2Ir crystal.

Energy above the most stable polymorph in this dataset (eV per atom): 0.000
Symmetry: I4/mmm, No. 139

Geometry as POSCAR:
```
Li2Y2Ir
1.0
3.512 0.000 0.000
0.000 3.512 0.000
0.000 0.000 18.549
Li Y Ir
4 4 2
direct
0.000 0.500 0.250
0.000 0.500 0.750
0.500 0.000 0.250
0.500 0.000 0.750
0.000 0.000 0.088
0.000 0.000 0.912
0.500 0.500 0.412
0.500 0.500 0.588
0.000 0.000 0.500
0.500 0.500 0.000
```



Number 1: DFT formation energy -635 meV per atom, theoretical density 14.085 Mg/m³. Number 2: DFT formation energy -226 meV per atom, theoretical density 5.574 Mg/m³.